[1]
DFT (GGA-PBE) results for a relaxed structure of TaRe2Hg.

The structure in extended XYZ format:
```
16
Lattice="6.477 0.000 0.000 0.000 6.477 0.000 0.000 0.000 6.477" Properties=species:S:1:pos:R:3 pbc="T T T"
Ta 0.000 0.000 0.000
Ta 0.000 3.238 3.238
Ta 3.238 0.000 3.238
Ta 3.238 3.238 0.000
Re 0.000 0.000 3.238
Re 0.000 3.238 0.000
Re 1.619 1.619 1.619
Re 1.619 4.858 4.858
Re 3.238 0.000 0.000
Re 3.238 3.238 3.238
Re 4.858 1.619 4.858
Re 4.858 4.858 1.619
Hg 1.619 1.619 4.858
Hg 1.619 4.858 1.619
Hg 4.858 1.619 1.619
Hg 4.858 4.858 4.858
```

## Properties
uncorrected energy = -8.61 eV per atom
formation energy = 0.650 eV/atom
calculated volume = 272 Å³ per cell
symmetry = F-43m

---

[2]
DFT (GGA-PBE) results for a relaxed structure of BaPaO4.

The structure in extended XYZ format:
```
12
Lattice="-2.940 2.940 5.493 2.940 -2.940 5.493 2.940 2.940 -5.493" Properties=species:S:1:pos:R:3 pbc="T T T"
Ba 0.000 1.470 1.373
Ba 2.940 1.470 4.120
Pa 2.940 1.470 -1.373
Pa 0.000 1.470 6.866
O 1.764 0.007 -0.009
O 1.175 2.933 5.502
O 1.477 -0.295 2.737
O 1.477 2.645 -2.737
O 1.175 -0.007 5.484
O 1.764 2.947 0.009
O 1.463 0.295 8.230
O 1.463 3.234 2.756
```

## Properties
uncorrected energy = -8.10 eV per atom
calculated volume = 190 Å³ per cell
uncorrected formation energy = -2886 meV/atom
symmetry = I4_1/a

---

[3]
DFT (GGA-PBE) results for a relaxed structure of NdSmZnHg.

The structure in extended XYZ format:
```
16
Lattice="7.502 0.000 0.000 0.000 7.502 0.000 0.000 0.000 7.502" Properties=species:S:1:pos:R:3 pbc="T T T"
Nd 0.000 0.000 0.000
Nd 0.000 3.751 3.751
Nd 3.751 0.000 3.751
Nd 3.751 3.751 0.000
Sm 0.000 0.000 3.751
Sm 0.000 3.751 0.000
Sm 3.751 0.000 0.000
Sm 3.751 3.751 3.751
Zn 1.875 1.875 5.626
Zn 1.875 5.626 1.875
Zn 5.626 1.875 1.875
Zn 5.626 5.626 5.626
Hg 1.875 1.875 1.875
Hg 1.875 5.626 5.626
Hg 5.626 1.875 5.626
Hg 5.626 5.626 1.875
```

## Properties
uncorrected energy = -3.14 eV per atom
formation energy = -0.373 eV/atom
calculated volume = 422 Å³ per cell
symmetry = F-43m
relative energy among the computed polymorphs = 26 meV/atom

---

[4]
DFT (GGA-PBE) results for a relaxed structure of Ni4OsAu.

The structure in extended XYZ format:
```
6
Lattice="0.000 3.356 3.356 3.356 0.000 3.356 3.356 3.356 0.000" Properties=species:S:1:pos:R:3 pbc="T T T"
Ni 0.837 0.837 0.837
Ni 2.518 2.518 0.837
Ni 2.518 0.837 2.518
Ni 0.837 2.518 2.518
Os 5.033 5.033 5.033
Au 3.356 3.356 3.356
```

## Properties
uncorrected energy = -6.01 eV per atom
formation energy = 0.259 eV/atom
calculated volume = 76 Å³ per cell
symmetry = F-43m